(1)
Entry from Alexandria via LeMat-Bulk: crystalline Cs2LaTiW at its relaxed geometry (PBE-GGA).

abc: 6.9942 6.9942 4.9833
angles: 90.00 90.00 90.00
Last column: nearest neighbours and their distance in Å.
Space group P4/mmm (No. 123)
Asymmetric unit:
Cs: 0.0000 0.5000 0.0000 (multiplicity 2)  2 La 3.50
La: 0.0000 0.0000 0.0000 (multiplicity 1)  2 Ti 2.49
Ti: 0.0000 0.0000 0.5000 (multiplicity 1)  2 La 2.49
W: 0.5000 0.5000 0.5000 (multiplicity 1)  8 Cs 4.29

**Energy of formation from the pure elements**: 2239 meV/atom

***

(2)
Entry from Alexandria via LeMat-Bulk: crystalline CsLa4Tl5 at its relaxed geometry (PBE-GGA).

abc: 4.0401 4.0401 21.1290
angles: 90.00 90.00 90.00
Last column: nearest neighbours and their distance in Å.
Space group P4/mmm (No. 123)
Asymmetric unit:
Cs: 0.0000 0.0000 0.0000 (multiplicity 1)  4 Cs 4.04, 8 Tl 4.06
La: 0.0000 0.0000 0.2207 (multiplicity 2)  8 Tl 3.37-3.49
La: 0.0000 0.0000 0.4071 (multiplicity 2)  8 Tl 3.45-3.47
Tl: 0.5000 0.5000 0.1365 (multiplicity 2)  4 La 3.37
Tl: 0.5000 0.5000 0.3152 (multiplicity 2)  8 La 3.45-3.49, 1 Tl 3.78
Tl: 0.5000 0.5000 0.5000 (multiplicity 1)  8 La 3.47

**Energy of formation from the pure elements**: -336 meV/atom

***

(3)
Entry from Alexandria via LeMat-Bulk: crystalline CsLa2Tl at its relaxed geometry (PBE-GGA).

abc: 8.1712 8.1712 8.1712
angles: 90.00 90.00 90.00
Last column: nearest neighbours and their distance in Å.
Space group Fm-3m (No. 225)
Asymmetric unit:
Cs: 0.0000 0.0000 0.0000 (multiplicity 4)  8 La 3.54
La: 0.2500 0.2500 0.2500 (multiplicity 8)  4 Tl 3.54, 4 Cs 3.54
Tl: 0.0000 0.0000 0.5000 (multiplicity 4)  8 La 3.54

**Energy of formation from the pure elements**: 180 meV/atom
**Relative energy among the computed polymorphs**: 0 meV per atom

***

(4)
Entry from Alexandria via LeMat-Bulk: crystalline CsLaTl3 at its relaxed geometry (PBE-GGA).

abc: 6.1259 6.1259 6.1259
angles: 90.00 90.00 90.00
Last column: nearest neighbours and their distance in Å.
Space group Pm-3m (No. 221)
Asymmetric unit:
Cs: 0.0000 0.0000 0.0000 (multiplicity 1)  6 Tl 3.06
La: 0.5000 0.5000 0.5000 (multiplicity 1)  12 Tl 4.33
Tl: 0.0000 0.0000 0.5000 (multiplicity 3)  2 Cs 3.06

**Energy of formation from the pure elements**: 795 meV/atom
**Relative energy among the computed polymorphs**: 605 meV per atom

***

(5)
Entry from Alexandria via LeMat-Bulk: crystalline CsLaTl2 at its relaxed geometry (PBE-GGA).

abc: 4.1148 4.1148 9.2767
angles: 90.00 90.00 90.00
Last column: nearest neighbours and their distance in Å.
Space group P4/mmm (No. 123)
Asymmetric unit:
Cs: 0.0000 0.0000 0.0000 (multiplicity 1)  8 Tl 4.07, 4 Cs 4.11
La: 0.0000 0.0000 0.5000 (multiplicity 1)  8 Tl 3.42
Tl: 0.5000 0.5000 0.3072 (multiplicity 2)  4 La 3.42, 1 Tl 3.58

**Energy of formation from the pure elements**: -213 meV/atom
**Relative energy among the computed polymorphs**: 0 meV per atom

***

(6)
Entry from Alexandria via LeMat-Bulk: crystalline CsLa2Tl at its relaxed geometry (PBE-GGA).

abc: 5.1204 5.1204 24.5803
angles: 90.00 90.00 90.00
Last column: nearest neighbours and their distance in Å.
Space group I-42d (No. 122)
Asymmetric unit:
Cs: 0.0000 0.0000 0.0000 (multiplicity 4)  4 Tl 3.62, 4 La 3.64
La: 0.2125 0.2500 0.6250 (multiplicity 8)  2 La 3.36, 2 Tl 3.50, 2 Cs 3.64
Tl: 0.0000 0.0000 0.5000 (multiplicity 4)  4 La 3.50, 4 Cs 3.62

**Energy of formation from the pure elements**: 356 meV/atom
**Relative energy among the computed polymorphs**: 176 meV per atom

***

(7)
Entry from Alexandria via LeMat-Bulk: crystalline CsLaTl3 at its relaxed geometry (PBE-GGA).

abc: 6.2984 6.2984 6.2984
angles: 90.00 90.00 90.00
Last column: nearest neighbours and their distance in Å.
Space group Pm-3m (No. 221)
Asymmetric unit:
Cs: 0.0000 0.0000 0.0000 (multiplicity 1)  12 Tl 4.45
La: 0.5000 0.5000 0.5000 (multiplicity 1)  6 Tl 3.15
Tl: 0.0000 0.5000 0.5000 (multiplicity 3)  2 La 3.15

**Energy of formation from the pure elements**: 190 meV/atom
**Relative energy among the computed polymorphs**: 0 meV per atom

***

(8)
Entry from Alexandria via LeMat-Bulk: crystalline CsLaTl2 at its relaxed geometry (PBE-GGA).

abc: 8.4483 8.4483 8.4483
angles: 90.00 90.00 90.00
Last column: nearest neighbours and their distance in Å.
Space group Fm-3m (No. 225)
Asymmetric unit:
Cs: 0.0000 0.0000 0.0000 (multiplicity 4)  8 Tl 3.66
La: 0.0000 0.0000 0.5000 (multiplicity 4)  8 Tl 3.66
Tl: 0.2500 0.2500 0.2500 (multiplicity 8)  4 La 3.66, 4 Cs 3.66

**Energy of formation from the pure elements**: 34 meV/atom
**Relative energy among the computed polymorphs**: 248 meV per atom